# GGA+U BeNiP2O, optimized geometry
# - theoretical density (g/cm3) = 3.44
# - density of states at the Fermi level (states/eV per cell) = 2.773
# - energy above the lowest structure with this stoichiometry (eV per atom) = 0.6364
data_BeNiP2O
_chemical_formula_sum 'Be1 Ni1 P2 O1'
_symmetry_space_group_name_H-M 'P 4/m m m'
_symmetry_Int_Tables_number 123
_symmetry_space_group_name_Hall '-P 4 2'
_cell_length_a 4.5575
_cell_length_b 4.5575
_cell_length_c 3.3891
_cell_angle_alpha 90.00
_cell_angle_beta 90.00
_cell_angle_gamma 90.00
loop_
_atom_site_label
_atom_site_type_symbol
_atom_site_fract_x
_atom_site_fract_y
_atom_site_fract_z
Be1 Be 0.0000 0.0000 0.0000
Ni1 Ni 0.5000 0.5000 0.5000
P1 P 0.0000 0.5000 0.5000
O1 O 0.5000 0.5000 0.0000